(1)
Computed, not measured: a relaxed structure of CsGa2GeOs at the PBE level of DFT.

Unit cell a=4.9721 b=4.9721 c=4.8665 alpha=90.00 beta=90.00 gamma=90.00
Closest atoms and distances in Å follow each position.
Element x y z (fractional)
Cs (0.5000, 0.5000, 0.5000)  8 Ga 3.48, 4 Ge 3.52
Ge (0.0000, 0.0000, 0.5000)  2 Os 2.43
Os (0.0000, 0.0000, 0.0000)  2 Ge 2.43, 4 Ga 2.49
Ga (0.0000, 0.5000, 0.0000)  2 Os 2.49
Ga (0.5000, 0.0000, 0.0000)  2 Os 2.49

Properties
Space group ... No. 123
ΔH_f (0 K) ... -0.040 eV per atom


(2)
Computed, not measured: a relaxed structure of ScSb2Te4 at the PBE level of DFT.

Unit cell a=4.0361 b=7.9362 c=14.3944 alpha=90.00 beta=90.00 gamma=104.73
Closest atoms and distances in Å follow each position.
Element x y z (fractional)
Sc (0.6125, 0.2250, 0.7500)  6 Te 2.91-3.04
Sc (0.3875, 0.7750, 0.2500)  6 Te 2.91-3.04
Sb (0.1340, 0.2679, 0.4295)  6 Te 3.02-3.30
Sb (0.8660, 0.7321, 0.9295)  6 Te 3.02-3.30
Sb (0.1340, 0.2679, 0.0705)  6 Te 3.02-3.30
Sb (0.8660, 0.7321, 0.5705)  6 Te 3.02-3.30
Te (0.7959, 0.5919, 0.1256)  3 Sb 3.02-3.30, 2 Sc 3.04
Te (0.7959, 0.5919, 0.3744)  3 Sb 3.02-3.30, 2 Sc 3.04
Te (0.2041, 0.4081, 0.8744)  3 Sb 3.02-3.30, 2 Sc 3.04
Te (0.2041, 0.4081, 0.6256)  3 Sb 3.02-3.30, 2 Sc 3.04
Te (0.9759, 0.9518, 0.7500)  2 Sc 2.91, 2 Sb 3.09
Te (0.0241, 0.0482, 0.2500)  2 Sc 2.91, 2 Sb 3.09
Te (0.5000, 0.0000, 0.0000)  4 Sb 3.05
Te (0.5000, 0.0000, 0.5000)  4 Sb 3.05

Properties
ΔE_f (raw) ... -341 meV/atom
Space group ... No. 63


The evaluated density for the records listed, in turn: 7.39; 5.95 Mg/m³.
The evaluated size of the total moment for the records listed, in turn: 0.000; 0.000 μB/atom.